# 1
First-principles (PBE) data for a relaxed structure of SiTcSnPd2, as listed in Alexandria via LeMat-Bulk.

Geometry as POSCAR:
```
SiTcSnPd2
1.0
4.8716 0.0000 0.0000
0.0000 5.0464 0.0000
0.0000 0.0000 4.8716
Sn Pd Tc Si
1 2 1 1
direct
0.0000 0.0000 0.0000 Sn
0.5000 0.0000 0.0000 Pd
0.0000 0.0000 0.5000 Pd
0.0000 0.5000 0.0000 Tc
0.5000 0.5000 0.5000 Si
```

Values from the calculation:
D(E_F)   4.69 states/eV/f.u.
Uncorrected energy   -4.80 eV per atom
Density   6.35 Mg/m³

---

# 2
First-principles (PBE) data for a relaxed structure of Cs3HoAg2Br8, as listed in Alexandria via LeMat-Bulk.

Geometry as POSCAR:
```
Cs3HoAg2Br8
1.0
7.9448 0.0000 0.0000
-3.9724 6.8804 0.0000
0.0000 0.0000 10.5775
Br Cs Ho Ag
8 3 1 2
direct
0.3253 0.1627 0.6570 Br
0.1627 0.3253 0.3430 Br
0.6747 0.8373 0.3430 Br
0.6667 0.3333 0.0428 Br
0.8373 0.1627 0.6570 Br
0.1627 0.8373 0.3430 Br
0.3333 0.6667 0.9572 Br
0.8373 0.6747 0.6570 Br
0.6667 0.3333 0.3689 Cs
0.3333 0.6667 0.6311 Cs
0.0000 0.0000 0.0000 Cs
0.0000 0.0000 0.5000 Ho
0.3333 0.6667 0.1962 Ag
0.6667 0.3333 0.8038 Ag
```

Values from the calculation:
D(E_F)   0.00 states/eV/f.u.
Uncorrected energy   -3.26 eV per atom
Density   4.07 Mg/m³

---

# 3
First-principles (PBE) data for a relaxed structure of MgSbPt2, as listed in Alexandria via LeMat-Bulk.

Geometry as POSCAR:
```
MgSbPt2
1.0
3.6812 0.0000 0.0000
0.0000 3.6812 0.0000
0.0000 0.0000 5.4255
Pt Sb Mg
2 1 1
direct
0.0000 0.0000 0.9588 Pt
0.5000 0.5000 0.2893 Pt
0.0000 0.0000 0.4563 Sb
0.5000 0.5000 0.7956 Mg
```

Values from the calculation:
D(E_F)   1.74 states/eV/f.u.
Uncorrected energy   -4.96 eV per atom
Density   12.11 Mg/m³

---

# 4
First-principles (PBE) data for a relaxed structure of ZnCoTc2I, as listed in Alexandria via LeMat-Bulk.

Geometry as POSCAR:
```
ZnCoTc2I
1.0
-4.4749 0.7523 -0.0384
-0.4146 -2.6498 -3.6014
-0.6260 -3.5854 2.7101
Tc I Co Zn
2 1 1 1
direct
0.5000 0.0000 0.0000 Tc
0.0000 0.0000 0.5000 Tc
0.5000 0.5000 0.5000 I
0.0000 0.0000 0.0000 Co
0.0000 0.5000 0.0000 Zn
```

Values from the calculation:
D(E_F)   7.45 states/eV/f.u.
Uncorrected energy   -4.99 eV per atom
Density   8.03 Mg/m³

---

# 5
First-principles (PBE) data for a relaxed structure of ZrAs2Pb, as listed in Alexandria via LeMat-Bulk.

Geometry as POSCAR:
```
ZrAs2Pb
1.0
-2.9943 1.5656 1.2646
-1.9976 -2.5903 -1.5231
0.4706 -3.7422 5.7472
As Pb Zr
2 1 1
direct
0.0000 0.0000 0.9431 As
0.0000 0.0000 0.5569 As
0.5000 0.5000 0.2500 Pb
0.5000 0.5000 0.7500 Zr
```

Values from the calculation:
D(E_F)   1.76 states/eV/f.u.
Formation energy from the elements   -0.46 eV/atom
Density   8.32 Mg/m³

---

# 6
First-principles (PBE) data for a relaxed structure of Ba2MgSiGe, as listed in Alexandria via LeMat-Bulk.

Geometry as POSCAR:
```
Ba2MgSiGe
1.0
6.3380 0.0000 0.0000
0.0000 4.8790 0.0000
0.0000 0.0000 6.3380
Ba Mg Ge Si
2 1 1 1
direct
0.0000 0.0000 0.5000 Ba
0.5000 0.0000 0.0000 Ba
0.0000 0.5000 0.0000 Mg
0.5000 0.5000 0.5000 Ge
0.0000 0.0000 0.0000 Si
```

Values from the calculation:
D(E_F)   6.89 states/eV/f.u.
Uncorrected energy   -3.06 eV per atom
Density   3.39 Mg/m³

---

# 7
First-principles (PBE) data for a relaxed structure of PmTh3Pd12, as listed in Alexandria via LeMat-Bulk.

Geometry as POSCAR:
```
PmTh3Pd12
1.0
4.2064 0.0000 0.0000
0.0000 4.2064 0.0000
0.0000 0.0000 16.8748
Pd Th Pm
12 3 1
direct
0.5000 0.5000 0.5000 Pd
0.0000 0.5000 0.6249 Pd
0.5000 0.5000 0.7487 Pd
0.0000 0.5000 0.3751 Pd
0.0000 0.5000 0.1263 Pd
0.5000 0.0000 0.1263 Pd
0.5000 0.0000 0.6249 Pd
0.5000 0.0000 0.3751 Pd
0.5000 0.5000 0.2513 Pd
0.0000 0.5000 0.8737 Pd
0.5000 0.0000 0.8737 Pd
0.5000 0.5000 0.0000 Pd
0.0000 0.0000 0.2468 Th
0.0000 0.0000 0.5000 Th
0.0000 0.0000 0.7532 Th
0.0000 0.0000 0.0000 Pm
```

Values from the calculation:
D(E_F)   1.75 states/eV/f.u.
Formation energy from the elements   -0.92 eV/atom
Density   11.78 Mg/m³

---

# 8
First-principles (PBE) data for a relaxed structure of MgBrO2, as listed in Alexandria via LeMat-Bulk.

Geometry as POSCAR:
```
MgBrO2
1.0
6.3015 0.0301 -0.0522
-0.0144 3.2988 -0.0131
-3.3705 -1.6472 5.6292
Mg O Br
2 4 2
direct
0.6167 0.8951 0.1395 Mg
0.5189 0.5740 0.4956 Mg
0.3716 0.9767 0.2656 O
0.6443 0.1572 0.7619 O
0.7640 0.5286 0.3698 O
0.4912 0.2131 0.8739 O
0.0306 0.0551 0.0482 Br
0.1048 0.8249 0.5873 Br
```

Values from the calculation:
D(E_F)   0.00 states/eV/f.u.
Distance to the lowest polymorph of the same formula   120.2 meV/atom
Density   3.89 Mg/m³

---

> Which value of D(E_F) does entry 3 give?

1.74 states/eV/f.u.